No. 1
## KHfSc2 (PBE)

Data for a relaxed structure of KHfSc2.

a b c (Å): 4.6572 4.6572 11.2897
angles (deg): 78.10 78.10 90.00
With the nearest neighbours (Å) after each atom.
Atoms (fractional coordinates):
1 Hf 0.0000 0.0000 0.0000  4 Sc 3.10, 4 K 3.29
2 Hf 0.7500 0.2500 0.5000  4 Sc 3.10, 4 K 3.29
3 K 0.5000 0.5000 0.0000  4 Sc 3.23, 4 Hf 3.29
4 K 0.2500 0.7500 0.5000  4 Sc 3.23, 4 Hf 3.29
5 Sc 0.6619 0.1250 0.2500  2 Sc 3.06, 2 Hf 3.10, 2 K 3.23
6 Sc 0.0881 0.6250 0.2500  2 Sc 3.06, 2 Hf 3.10, 2 K 3.23
7 Sc 0.3750 0.3381 0.7500  2 Sc 3.06, 2 Hf 3.10, 2 K 3.23
8 Sc 0.8750 0.9119 0.7500  2 Sc 3.06, 2 Hf 3.10, 2 K 3.23

Computed properties:
**Polymorph energy (0 for the lowest one)**: 851.2 meV/atom
**Crystal system**: tetragonal
**Energy of formation**: 1180 meV per atom

---

No. 2
## K2Hf2Sc (PBE)

Data for a relaxed structure of K2Hf2Sc.

a b c (Å): 3.8836 3.8836 13.4467
angles (deg): 81.70 81.70 90.00
With the nearest neighbours (Å) after each atom.
Atoms (fractional coordinates):
1 K 0.3805 0.3805 0.2390  4 K 3.88, 4 Hf 3.95, 4 Sc 4.18
2 K 0.6195 0.6195 0.7610  4 K 3.88, 4 Hf 3.95, 4 Sc 4.18
3 Hf 0.2500 0.7500 0.5000  4 Hf 2.75
4 Hf 0.7500 0.2500 0.5000  4 Hf 2.75
5 Sc 0.0000 0.0000 0.0000  4 Sc 3.88, 8 K 4.18

Computed properties:
**Polymorph energy (0 for the lowest one)**: 0.0 meV/atom
**Crystal system**: tetragonal
**Energy of formation**: 1042 meV per atom

---

No. 3
## KHfSc2 (PBE)

Data for a relaxed structure of KHfSc2.

a b c (Å): 5.3703 5.3703 5.3703
angles (deg): 60.00 60.00 60.00
With the nearest neighbours (Å) after each atom.
Atoms (fractional coordinates):
1 Hf 0.5000 0.5000 0.5000  8 Sc 3.29
2 Sc 0.7500 0.7500 0.7500  4 K 3.29, 4 Hf 3.29
3 Sc 0.2500 0.2500 0.2500  4 Hf 3.29, 4 K 3.29
4 K 0.0000 0.0000 0.0000  8 Sc 3.29

Computed properties:
**Polymorph energy (0 for the lowest one)**: 515.8 meV/atom
**Crystal system**: cubic
**Energy of formation**: 845 meV per atom

---

No. 4
## KHfSc (PBE)

Data for a relaxed structure of KHfSc.

a b c (Å): 5.8197 5.8197 6.0449
angles (deg): 90.00 90.00 120.00
With the nearest neighbours (Å) after each atom.
Atoms (fractional coordinates):
1 K 0.0000 0.0000 0.0000  2 K 3.02
2 K 0.0000 0.0000 0.5000  2 K 3.02
3 Hf 0.6667 0.3333 0.7500  5 Sc 3.02-3.36
4 Hf 0.3333 0.6667 0.2500  5 Sc 3.02-3.36
5 Sc 0.3333 0.6667 0.7500  5 Hf 3.02-3.36
6 Sc 0.6667 0.3333 0.2500  5 Hf 3.02-3.36

Computed properties:
**Polymorph energy (0 for the lowest one)**: 801.2 meV/atom
**Crystal system**: hexagonal
**Energy of formation**: 1053 meV per atom